Record 1
DFT (PBE) results for an optimized crystal structure of Pm5Cd2Sn5.

Output
**Symmetry**: No. 12
**M_tot**: 0.00 μB/atom
**Formation enthalpy at 0 K**: -496 meV per atom

```
12
Lattice="4.586 0.000 0.000 -2.293 7.071 -1.105 0.000 -5.152 11.626" Properties=species:S:1:pos:R:3 pbc="T T T"
Pm 2.293 -2.576 5.813
Pm 2.293 -2.992 11.187
Pm 2.293 0.654 3.046
Pm 0.000 1.264 7.475
Pm 0.000 4.911 -0.666
Cd 0.000 -2.770 8.810
Cd 2.293 4.689 1.711
Sn 0.000 -0.525 4.949
Sn 2.293 -0.830 8.673
Sn 0.000 2.749 1.849
Sn 2.293 2.444 5.572
Sn 0.000 0.000 0.000
```

=====

Record 2
DFT (PBE) results for an optimized crystal structure of Pm3Cd2Sn.

Output
**Symmetry**: No. 123
**M_tot**: 0.02 μB/atom
**Formation enthalpy at 0 K**: -441 meV per atom

```
6
Lattice="3.788 0.000 0.000 0.000 3.788 0.000 0.000 0.000 11.796" Properties=species:S:1:pos:R:3 pbc="T T T"
Pm 0.000 0.000 0.000
Pm 0.000 0.000 7.899
Pm 0.000 0.000 3.897
Cd 1.894 1.894 9.917
Cd 1.894 1.894 1.879
Sn 1.894 1.894 5.898
```

=====

Record 3
DFT (PBE) results for an optimized crystal structure of PmCdSn6.

Output
**Symmetry**: No. 123
**M_tot**: 0.00 μB/atom
**Formation enthalpy at 0 K**: -194 meV per atom

```
8
Lattice="4.658 0.000 0.000 0.000 4.658 0.000 0.000 0.000 9.932" Properties=species:S:1:pos:R:3 pbc="T T T"
Pm 0.000 0.000 0.000
Cd 0.000 0.000 4.966
Sn 2.329 2.329 0.000
Sn 2.329 2.329 4.966
Sn 2.329 0.000 2.501
Sn 2.329 0.000 7.431
Sn 0.000 2.329 2.501
Sn 0.000 2.329 7.431
```

=====

Record 4
DFT (PBE) results for an optimized crystal structure of Pm4CdSn.

Output
**Symmetry**: No. 36
**M_tot**: 0.00 μB/atom
**Formation enthalpy at 0 K**: -177 meV per atom

```
12
Lattice="-3.375 2.482 -3.716 2.861 -3.402 -4.870 -5.667 -9.290 3.161" Properties=species:S:1:pos:R:3 pbc="T T T"
Pm -6.235 -5.838 -2.456
Pm 0.465 -4.860 -3.668
Pm -4.052 -9.810 -2.872
Pm -1.713 -0.895 -3.262
Pm -3.146 -4.053 -4.069
Pm -4.088 -4.904 0.437
Pm -4.540 -2.392 -1.694
Pm -2.623 -6.649 -2.058
Cd -0.449 -2.780 -5.668
Cd -5.315 -7.926 -0.468
Sn -4.406 -7.103 -4.963
Sn -1.364 -3.596 -1.163
```

=====

Record 5
DFT (PBE) results for an optimized crystal structure of PmCdSn2.

Output
**Symmetry**: No. 123
**M_tot**: 0.00 μB/atom
**Formation enthalpy at 0 K**: -500 meV per atom

```
4
Lattice="4.505 0.000 0.000 0.000 4.789 0.000 0.000 0.000 4.789" Properties=species:S:1:pos:R:3 pbc="T T T"
Cd 2.253 0.000 0.000
Sn 0.000 0.000 2.395
Sn 0.000 2.395 0.000
Pm 2.253 2.395 2.395
```

=====

Record 6
DFT (PBE) results for an optimized crystal structure of Pm2Cd16Sn.

Output
**Symmetry**: No. 160
**M_tot**: 0.00 μB/atom
**Formation enthalpy at 0 K**: -141 meV per atom

```
19
Lattice="7.641 -0.005 0.856 0.765 7.603 0.856 -0.005 -0.005 7.689" Properties=species:S:1:pos:R:3 pbc="T T T"
Pm 5.650 5.107 6.323
Pm 2.800 2.531 3.134
Cd 6.025 7.582 3.862
Cd 7.862 2.383 6.420
Cd 2.924 5.231 8.531
Cd 8.150 5.231 3.862
Cd 5.499 2.383 8.531
Cd 3.162 7.582 6.420
Cd 3.398 6.091 3.803
Cd 6.402 2.767 3.803
Cd 3.062 2.767 6.788
Cd 5.117 1.095 5.726
Cd 1.605 4.981 5.726
Cd 5.511 4.981 2.237
Cd 0.521 3.599 0.583
Cd 3.633 0.155 0.583
Cd 0.172 0.155 3.676
Cd 0.793 0.717 0.887
Sn 7.525 6.802 8.421
```

=====

Record 7
DFT (PBE) results for an optimized crystal structure of Pm2Cd2Sn.

Output
**Symmetry**: No. 12
**M_tot**: 0.00 μB/atom
**Formation enthalpy at 0 K**: -302 meV per atom

```
5
Lattice="0.103 -6.775 -4.604 4.191 -6.465 -2.786 -0.043 -6.134 1.146" Properties=species:S:1:pos:R:3 pbc="T T T"
Pm 2.969 -14.255 -4.238
Pm 1.282 -5.119 -2.006
Cd 1.737 -8.450 -2.462
Cd 2.513 -10.923 -3.782
Sn 0.000 0.000 0.000
```

=====

Record 8
DFT (PBE) results for an optimized crystal structure of PmCdSn.

Output
**Symmetry**: No. 70
**M_tot**: 0.00 μB/atom
**Formation enthalpy at 0 K**: -221 meV per atom

```
12
Lattice="8.469 -0.378 0.000 -3.564 7.692 0.000 -2.452 -3.657 5.414" Properties=species:S:1:pos:R:3 pbc="T T T"
Pm 3.344 1.734 1.353
Pm -2.117 0.095 4.060
Pm 2.117 -0.095 4.060
Pm 1.561 5.580 1.353
Sn -3.895 5.263 2.707
Sn 6.356 1.039 0.000
Sn 0.331 2.429 2.707
Sn -1.451 6.275 0.000
Cd -1.782 3.846 1.298
Cd 0.000 0.000 1.409
Cd 2.453 3.657 4.005
Cd -1.782 3.846 4.116
```

=====

Look up the M_tot of the fourth one. 0.00 μB/atom

=====

M_tot of number 4 (Pm4CdSn)? 0.00 μB/atom

=====

Repeat the third record exactly.
DFT (PBE) results for an optimized crystal structure of PmCdSn6.

Output
**Symmetry**: No. 123
**M_tot**: 0.00 μB/atom
**Formation enthalpy at 0 K**: -194 meV per atom

```
8
Lattice="4.658 0.000 0.000 0.000 4.658 0.000 0.000 0.000 9.932" Properties=species:S:1:pos:R:3 pbc="T T T"
Pm 0.000 0.000 0.000
Cd 0.000 0.000 4.966
Sn 2.329 2.329 0.000
Sn 2.329 2.329 4.966
Sn 2.329 0.000 2.501
Sn 2.329 0.000 7.431
Sn 0.000 2.329 2.501
Sn 0.000 2.329 7.431
```